a.
Below is crystalline Li3Nd at its relaxed geometry, with properties calculated at the PBE level.

Cell lengths 5.6442, 5.6442, 5.6442 Å; angles 132.16, 132.16, 69.97 degrees
Closest atoms and distances in Å follow each position.
Element x y z (fractional)
Li 0.0000 0.0000 0.0000  4 Nd 3.24, 8 Li 3.25
Li 0.2500 0.7500 0.5000  8 Li 3.24-3.25, 4 Nd 3.25
Li 0.7500 0.2500 0.5000  8 Li 3.24-3.25, 4 Nd 3.25
Nd 0.5000 0.5000 0.0000  12 Li 3.24-3.25


b.
Below is crystalline Li3Nd at its relaxed geometry, with properties calculated at the PBE level.

Cell lengths 5.1871, 5.1871, 5.1871 Å; angles 60.00, 60.00, 60.00 degrees
Closest atoms and distances in Å follow each position.
Element x y z (fractional)
Li 0.0000 0.0000 0.0000  8 Li 3.18
Li 0.2500 0.2500 0.2500  4 Nd 3.18, 4 Li 3.18
Li 0.7500 0.7500 0.7500  4 Li 3.18, 4 Nd 3.18
Nd 0.5000 0.5000 0.5000  8 Li 3.18


c.
Below is crystalline Li3Nd at its relaxed geometry, with properties calculated at the PBE level.

Cell lengths 4.6944, 4.6944, 4.6944 Å; angles 90.00, 90.00, 90.00 degrees
Closest atoms and distances in Å follow each position.
Element x y z (fractional)
Li 0.0000 0.0000 0.5000  8 Li 3.32, 4 Nd 3.32
Li 0.0000 0.5000 0.0000  8 Li 3.32, 4 Nd 3.32
Li 0.5000 0.0000 0.0000  8 Li 3.32, 4 Nd 3.32
Nd 0.5000 0.5000 0.5000  12 Li 3.32


d.
Below is crystalline Li3Nd at its relaxed geometry, with properties calculated at the PBE level.

Cell lengths 3.2344, 5.3312, 5.7061 Å; angles 90.00, 90.00, 90.00 degrees
Closest atoms and distances in Å follow each position.
Element x y z (fractional)
Li 0.0000 0.0000 0.0000  6 Li 2.98-3.23, 4 Nd 3.34
Li 0.0000 0.5000 0.2871  8 Li 3.13-3.24, 4 Nd 3.26-3.30
Li 0.5000 0.0000 0.4396  8 Li 2.98-3.24, 2 Nd 3.33
Nd 0.5000 0.5000 0.7905  2 Nd 3.23, 10 Li 3.26-3.34


Tell me which of them is the least stable. Sure, it is c.